! LaEuSb (PBE, optimized geometry); values from VASP
&SYSTEM
  ibrav = 0, nat = 12, ntyp = 3
/
ATOMIC_SPECIES
La 138.91 La.upf
Eu 151.96 Eu.upf
Sb 121.76 Sb.upf
ATOMIC_POSITIONS crystal
La 0.000 0.000 0.000
La 0.000 0.500 0.500
La 0.500 0.000 0.500
La 0.500 0.500 0.000
Eu 0.000 0.000 0.500
Eu 0.000 0.500 0.000
Eu 0.500 0.000 0.000
Eu 0.500 0.500 0.500
Sb 0.250 0.250 0.750
Sb 0.250 0.750 0.250
Sb 0.750 0.250 0.250
Sb 0.750 0.750 0.750
CELL_PARAMETERS angstrom
7.598 0.000 0.000
0.000 7.598 0.000
0.000 0.000 7.598
! formation energy (no corrections)	-0.721	eV per atom
! offset from the most stable computed form	8	meV per atom
! total moment	7.97	μB per formula unit



! LaEu2Sc (PBE, optimized geometry); values from VASP
&SYSTEM
  ibrav = 0, nat = 16, ntyp = 3
/
ATOMIC_SPECIES
La 138.91 La.upf
Eu 151.96 Eu.upf
Sc 44.96 Sc.upf
ATOMIC_POSITIONS crystal
La 0.000 0.000 0.000
La 0.000 0.500 0.500
La 0.500 0.000 0.500
La 0.500 0.500 0.000
Eu 0.250 0.250 0.250
Eu 0.250 0.250 0.750
Eu 0.250 0.750 0.250
Eu 0.250 0.750 0.750
Eu 0.750 0.250 0.250
Eu 0.750 0.250 0.750
Eu 0.750 0.750 0.250
Eu 0.750 0.750 0.750
Sc 0.000 0.000 0.500
Sc 0.000 0.500 0.000
Sc 0.500 0.000 0.000
Sc 0.500 0.500 0.500
CELL_PARAMETERS angstrom
8.230 0.000 0.000
0.000 8.230 0.000
0.000 0.000 8.230
! offset from the most stable computed form	39	meV per atom
! total moment	14.36	μB per formula unit
! ΔH_f (0 K)	0.1950	eV/atom



! LaEuSc2 (PBE, optimized geometry); values from VASP
&SYSTEM
  ibrav = 0, nat = 16, ntyp = 3
/
ATOMIC_SPECIES
La 138.91 La.upf
Eu 151.96 Eu.upf
Sc 44.96 Sc.upf
ATOMIC_POSITIONS crystal
La 0.000 0.000 0.000
La 0.000 0.500 0.500
La 0.500 0.000 0.500
La 0.500 0.500 0.000
Eu 0.000 0.000 0.500
Eu 0.000 0.500 0.000
Eu 0.500 0.000 0.000
Eu 0.500 0.500 0.500
Sc 0.250 0.250 0.250
Sc 0.250 0.250 0.750
Sc 0.250 0.750 0.250
Sc 0.250 0.750 0.750
Sc 0.750 0.250 0.250
Sc 0.750 0.250 0.750
Sc 0.750 0.750 0.250
Sc 0.750 0.750 0.750
CELL_PARAMETERS angstrom
7.894 0.000 0.000
0.000 7.894 0.000
0.000 0.000 7.894
! offset from the most stable computed form	17	meV per atom
! total moment	6.93	μB per formula unit
! ΔH_f (0 K)	0.1619	eV/atom



! LaEu2Sc (PBE, optimized geometry); values from VASP
&SYSTEM
  ibrav = 0, nat = 4, ntyp = 3
/
ATOMIC_SPECIES
La 138.91 La.upf
Eu 151.96 Eu.upf
Sc 44.96 Sc.upf
ATOMIC_POSITIONS crystal
La 0.000 0.000 0.000
Eu 0.000 0.500 0.500
Eu 0.500 0.000 0.500
Sc 0.500 0.500 0.000
CELL_PARAMETERS angstrom
5.128 0.000 0.000
0.000 5.128 0.000
0.000 0.000 5.307
! offset from the most stable computed form	10	meV per atom
! total moment	15.37	μB per formula unit
! ΔH_f (0 K)	0.1662	eV/atom



no.,N(E_F) (states/eV/f.u.),E_tot (eV/atom),V (Å³/cell)
1,2.47,-7.1626,438.6
2,5.34,-7.7569,557.5
3,6.04,-6.8044,492.0
4,7.05,-7.7858,139.5